Record 1
LiTaO2: relaxed, GGA-PBEsol.

a b c (Å): 2.8933 2.8933 18.6905
angles (deg): 90.00 90.00 120.00
Space group R-3m (No. 166, hexagonal axes)
Asymmetric unit:
1 Li 0.0000 0.0000 0.0000 (multiplicity 3)
2 Ta 0.0000 0.0000 0.5000 (multiplicity 3)
3 O 0.0000 0.0000 0.0945 (multiplicity 6)

Calculated values
- DOS(E_F): 0.89 states/eV/f.u.
- Total energy: -8.236 eV/atom

Record 2
Ca2BeSe: relaxed, GGA-PBEsol.

a b c (Å): 3.7148 3.7148 24.9735
angles (deg): 90.00 90.00 120.00
Space group R3m (No. 160, hexagonal axes)
Asymmetric unit:
1 Ca 0.0000 0.0000 0.0000 (multiplicity 3)
2 Ca 0.0000 0.0000 0.2034 (multiplicity 3)
3 Be 0.0000 0.0000 0.4530 (multiplicity 3)
4 Se 0.0000 0.0000 0.7554 (multiplicity 3)

Calculated values
- DOS(E_F): 1.46 states/eV/f.u.
- Total energy: -3.455 eV/atom